First-principles (PBE) data for a relaxed structure of CuNiPdPb, as listed in the Open Quantum Materials Database.

The structure in CIF format:
```
data_CuNiPdPb
_symmetry_space_group_name_H-M 'F -4 3 m'
_symmetry_Int_Tables_number 216
_symmetry_space_group_name_Hall 'F -4 2 3'
_cell_length_a 6.274
_cell_length_b 6.274
_cell_length_c 6.274
_cell_angle_alpha 90.00
_cell_angle_beta 90.00
_cell_angle_gamma 90.00
loop_
_atom_site_label
_atom_site_fract_x
_atom_site_fract_y
_atom_site_fract_z
Cu1 0.000 0.000 0.000
Ni1 0.000 0.000 0.500
Pd1 0.250 0.250 0.250
Pb1 0.250 0.250 0.750
```

Computed properties:
Its total energy is -4.49 eV/atom.

First-principles (PBE) data for a relaxed structure of Sn2IrSe, as listed in the Open Quantum Materials Database.

The structure in CIF format:
```
data_Sn2IrSe
_symmetry_space_group_name_H-M 'P m n 21'
_symmetry_Int_Tables_number 31
_cell_length_a 3.692
_cell_length_b 13.831
_cell_length_c 3.688
_cell_angle_alpha 90.00
_cell_angle_beta 90.00
_cell_angle_gamma 90.00
loop_
_symmetry_equiv_pos_as_xyz
'x,y,z'
'-x+1/2,-y,z+1/2'
'-x,y,z'
'x+1/2,-y,z+1/2'
loop_
_atom_site_label
_atom_site_fract_x
_atom_site_fract_y
_atom_site_fract_z
Sn1 0.000 0.078 0.000
Sn2 0.000 0.685 0.941
Ir1 0.000 0.875 0.999
Se1 0.000 0.401 0.955
```

Computed properties:
Its total energy is -5.24 eV/atom.

First-principles (PBE) data for a relaxed structure of BaDyTe2AuSe, as listed in the Open Quantum Materials Database.

The structure in CIF format:
```
data_BaDyTe2AuSe
_symmetry_space_group_name_H-M 'C m c m'
_symmetry_Int_Tables_number 63
_symmetry_space_group_name_Hall '-C 2c 2'
_cell_length_a 4.351
_cell_length_b 15.129
_cell_length_c 10.925
_cell_angle_alpha 90.00
_cell_angle_beta 90.00
_cell_angle_gamma 90.00
loop_
_atom_site_label
_atom_site_fract_x
_atom_site_fract_y
_atom_site_fract_z
Ba1 0.000 0.240 0.250
Dy1 0.000 0.500 0.000
Te1 0.000 0.142 0.550
Au1 0.000 0.031 0.750
Se1 0.000 0.426 0.750
```

Computed properties:
Its total energy is -4.57 eV/atom.

First-principles (PBE) data for a relaxed structure of YLuAsO, as listed in the Open Quantum Materials Database.

The structure in CIF format:
```
data_YLuAsO
_symmetry_space_group_name_H-M 'P 4/n m m'
_symmetry_Int_Tables_number 129
_cell_length_a 4.302
_cell_length_b 4.302
_cell_length_c 8.662
_cell_angle_alpha 90.00
_cell_angle_beta 90.00
_cell_angle_gamma 90.00
loop_
_symmetry_equiv_pos_as_xyz
'x,y,z'
'-x,-y,-z'
'-y+1/2,x,z'
'y+1/2,-x,-z'
'-x+1/2,-y+1/2,z'
'x+1/2,y+1/2,-z'
'y,-x+1/2,z'
'-y,x+1/2,-z'
'x+1/2,-y,-z'
'-x+1/2,y,z'
'-y,-x,-z'
'y,x,z'
'-x,y+1/2,-z'
'x,-y+1/2,z'
'y+1/2,x+1/2,-z'
'-y+1/2,-x+1/2,z'
loop_
_atom_site_label
_atom_site_fract_x
_atom_site_fract_y
_atom_site_fract_z
Y1 0.250 0.250 0.104
Lu1 0.250 0.750 0.500
As1 0.250 0.250 0.700
O1 0.250 0.750 0.000
```

Computed properties:
Its total energy is -7.05 eV/atom.

First-principles (PBE) data for a relaxed structure of LiMgAl2Cu4, as listed in the Open Quantum Materials Database.

The structure in CIF format:
```
data_LiMgAl2Cu4
_symmetry_space_group_name_H-M 'P 4/m m m'
_symmetry_Int_Tables_number 123
_symmetry_space_group_name_Hall '-P 4 2'
_cell_length_a 4.208
_cell_length_b 4.208
_cell_length_c 5.947
_cell_angle_alpha 90.00
_cell_angle_beta 90.00
_cell_angle_gamma 90.00
loop_
_atom_site_label
_atom_site_fract_x
_atom_site_fract_y
_atom_site_fract_z
Li1 0.000 0.000 0.000
Mg1 0.500 0.500 0.500
Al1 0.000 0.000 0.500
Al2 0.500 0.500 0.000
Cu1 0.000 0.500 0.238
```

Computed properties:
Its total energy is -3.43 eV/atom.

First-principles (PBE) data for a relaxed structure of CuH4C6IN2, as listed in the Open Quantum Materials Database.

The structure in CIF format:
```
data_CuH4C6IN2
_symmetry_space_group_name_H-M 'P 21 21 21'
_symmetry_Int_Tables_number 19
_cell_length_a 4.071
_cell_length_b 12.874
_cell_length_c 14.378
_cell_angle_alpha 90.00
_cell_angle_beta 90.00
_cell_angle_gamma 90.00
loop_
_symmetry_equiv_pos_as_xyz
'x,y,z'
'-x+1/2,-y,z+1/2'
'x+1/2,-y+1/2,-z'
'-x,y+1/2,-z+1/2'
loop_
_atom_site_label
_atom_site_fract_x
_atom_site_fract_y
_atom_site_fract_z
Cu1 0.136 0.192 0.454
H1 0.069 0.521 0.928
H2 0.136 0.366 0.240
H3 0.149 0.736 0.605
H4 0.177 0.653 0.444
C1 0.005 0.996 0.346
C2 0.090 0.484 0.996
C3 0.121 0.054 0.268
C4 0.128 0.397 0.169
C5 0.229 0.386 0.006
C6 0.248 0.341 0.094
I1 0.127 0.222 0.634
N1 0.026 0.040 0.432
N2 0.210 0.094 0.199
```

Computed properties:
Its total energy is -6.41 eV/atom.

First-principles (PBE) data for a relaxed structure of SiHgAsO, as listed in the Open Quantum Materials Database.

The structure in CIF format:
```
data_SiHgAsO
_symmetry_space_group_name_H-M 'P 4/n m m'
_symmetry_Int_Tables_number 129
_cell_length_a 3.852
_cell_length_b 3.852
_cell_length_c 9.689
_cell_angle_alpha 90.00
_cell_angle_beta 90.00
_cell_angle_gamma 90.00
loop_
_symmetry_equiv_pos_as_xyz
'x,y,z'
'-x,-y,-z'
'-y+1/2,x,z'
'y+1/2,-x,-z'
'-x+1/2,-y+1/2,z'
'x+1/2,y+1/2,-z'
'y,-x+1/2,z'
'-y,x+1/2,-z'
'x+1/2,-y,-z'
'-x+1/2,y,z'
'-y,-x,-z'
'y,x,z'
'-x,y+1/2,-z'
'x,-y+1/2,z'
'y+1/2,x+1/2,-z'
'-y+1/2,-x+1/2,z'
loop_
_atom_site_label
_atom_site_fract_x
_atom_site_fract_y
_atom_site_fract_z
Si1 0.250 0.250 0.087
Hg1 0.250 0.750 0.500
As1 0.250 0.250 0.710
O1 0.250 0.750 0.000
```

Computed properties:
Its total energy is -3.91 eV/atom.

First-principles (PBE) data for a relaxed structure of ZnCuRePt, as listed in the Open Quantum Materials Database.

The structure in CIF format:
```
data_ZnCuRePt
_symmetry_space_group_name_H-M 'F -4 3 m'
_symmetry_Int_Tables_number 216
_symmetry_space_group_name_Hall 'F -4 2 3'
_cell_length_a 6.132
_cell_length_b 6.132
_cell_length_c 6.132
_cell_angle_alpha 90.00
_cell_angle_beta 90.00
_cell_angle_gamma 90.00
loop_
_atom_site_label
_atom_site_fract_x
_atom_site_fract_y
_atom_site_fract_z
Zn1 0.000 0.000 0.000
Cu1 0.250 0.250 0.250
Re1 0.000 0.000 0.500
Pt1 0.250 0.250 0.750
```

Computed properties:
The calculated formation energy is 0.255 eV per atom.

First-principles (PBE) data for a relaxed structure of Ho2ErInGa2Hg3, as listed in the Open Quantum Materials Database.

The structure in CIF format:
```
data_Ho2ErInGa2Hg3
_symmetry_space_group_name_H-M 'A m m 2'
_symmetry_Int_Tables_number 38
_cell_length_a 4.444
_cell_length_b 12.707
_cell_length_c 7.343
_cell_angle_alpha 90.00
_cell_angle_beta 90.00
_cell_angle_gamma 90.00
loop_
_symmetry_equiv_pos_as_xyz
'x,y,z'
'-x,-y,z'
'-x,y,z'
'x,-y,z'
'x,y+1/2,z+1/2'
'-x,-y+1/2,z+1/2'
'-x,y+1/2,z+1/2'
'x,-y+1/2,z+1/2'
loop_
_atom_site_label
_atom_site_fract_x
_atom_site_fract_y
_atom_site_fract_z
Ho1 0.000 0.217 0.000
Er1 0.000 0.000 0.652
In1 0.000 0.000 0.218
Ga1 0.500 0.166 0.717
Hg1 0.500 0.000 0.952
Hg2 0.500 0.133 0.350
```

Computed properties:
Its total energy is -3.06 eV/atom.

First-principles (PBE) data for a relaxed structure of LuInCoCu, as listed in the Open Quantum Materials Database.

The structure in CIF format:
```
data_LuInCoCu
_symmetry_space_group_name_H-M 'F -4 3 m'
_symmetry_Int_Tables_number 216
_symmetry_space_group_name_Hall 'F -4 2 3'
_cell_length_a 6.546
_cell_length_b 6.546
_cell_length_c 6.546
_cell_angle_alpha 90.00
_cell_angle_beta 90.00
_cell_angle_gamma 90.00
loop_
_atom_site_label
_atom_site_fract_x
_atom_site_fract_y
_atom_site_fract_z
Lu1 0.000 0.000 0.000
In1 0.250 0.250 0.250
Co1 0.250 0.250 0.750
Cu1 0.000 0.000 0.500
```

Computed properties:
Its total energy is -4.42 eV/atom.

First-principles (PBE) data for a relaxed structure of CuSbPdW, as listed in the Open Quantum Materials Database.

The structure in CIF format:
```
data_CuSbPdW
_symmetry_space_group_name_H-M 'F -4 3 m'
_symmetry_Int_Tables_number 216
_symmetry_space_group_name_Hall 'F -4 2 3'
_cell_length_a 6.448
_cell_length_b 6.448
_cell_length_c 6.448
_cell_angle_alpha 90.00
_cell_angle_beta 90.00
_cell_angle_gamma 90.00
loop_
_atom_site_label
_atom_site_fract_x
_atom_site_fract_y
_atom_site_fract_z
Cu1 0.000 0.000 0.000
Sb1 0.250 0.250 0.750
Pd1 0.000 0.000 0.500
W1 0.250 0.250 0.250
```

Computed properties:
Its total energy is -5.91 eV/atom.

First-principles (PBE) data for a relaxed structure of Li4Si2PdAu, as listed in the Open Quantum Materials Database.

The structure in CIF format:
```
data_Li4Si2PdAu
_symmetry_space_group_name_H-M 'P -4 m 2'
_symmetry_Int_Tables_number 115
_cell_length_a 4.227
_cell_length_b 4.227
_cell_length_c 5.978
_cell_angle_alpha 90.00
_cell_angle_beta 90.00
_cell_angle_gamma 90.00
loop_
_symmetry_equiv_pos_as_xyz
'x,y,z'
'y,-x,-z'
'-x,-y,z'
'-y,x,-z'
'-x,y,z'
'-y,-x,-z'
'x,-y,z'
'y,x,-z'
loop_
_atom_site_label
_atom_site_fract_x
_atom_site_fract_y
_atom_site_fract_z
Li1 0.000 0.000 0.000
Li2 0.000 0.500 0.747
Li3 0.500 0.500 0.500
Si1 0.000 0.500 0.265
Pd1 0.000 0.000 0.500
Au1 0.500 0.500 0.000
```

Computed properties:
Its total energy is -3.87 eV/atom.

Repeat the twelfth record exactly.
First-principles (PBE) data for a relaxed structure of Li4Si2PdAu, as listed in the Open Quantum Materials Database.

The structure in CIF format:
```
data_Li4Si2PdAu
_symmetry_space_group_name_H-M 'P -4 m 2'
_symmetry_Int_Tables_number 115
_cell_length_a 4.227
_cell_length_b 4.227
_cell_length_c 5.978
_cell_angle_alpha 90.00
_cell_angle_beta 90.00
_cell_angle_gamma 90.00
loop_
_symmetry_equiv_pos_as_xyz
'x,y,z'
'y,-x,-z'
'-x,-y,z'
'-y,x,-z'
'-x,y,z'
'-y,-x,-z'
'x,-y,z'
'y,x,-z'
loop_
_atom_site_label
_atom_site_fract_x
_atom_site_fract_y
_atom_site_fract_z
Li1 0.000 0.000 0.000
Li2 0.000 0.500 0.747
Li3 0.500 0.500 0.500
Si1 0.000 0.500 0.265
Pd1 0.000 0.000 0.500
Au1 0.500 0.500 0.000
```

Computed properties:
Its total energy is -3.87 eV/atom.